! PBE K4Tb3PmTe8, optimized geometry; values from VASP
! - total moment (μB/f.u.) = 0.00
! - space-group type = R-3m
&SYSTEM
  ibrav = 0, nat = 16, ntyp = 4
/
ATOMIC_SPECIES
Tb 158.93 Tb.upf
Te 127.60 Te.upf
Pm 145.00 Pm.upf
K 39.10 K.upf
ATOMIC_POSITIONS crystal
Tb 0.000 0.500 0.500
Te 0.239 0.711 0.972
Tb 0.500 0.500 0.000
Pm 0.000 0.500 0.000
Te 0.736 0.709 0.473
Te 0.761 0.289 0.028
K 0.000 0.000 0.000
K 0.500 0.000 0.500
Te 0.267 0.289 0.028
Tb 0.500 0.500 0.500
Te 0.264 0.291 0.527
Te 0.733 0.711 0.972
K 0.000 0.000 0.500
K 0.500 0.000 0.000
Te 0.761 0.289 0.522
Te 0.239 0.711 0.478
CELL_PARAMETERS angstrom
9.064 0.000 0.000
0.000 9.759 0.481
-4.532 -4.530 6.411

=====

! PBE K3TbPm3Te8, optimized geometry; values from VASP
! - total moment (μB/f.u.) = 0.00
! - space-group type = R-3m
&SYSTEM
  ibrav = 0, nat = 15, ntyp = 4
/
ATOMIC_SPECIES
Te 127.60 Te.upf
Pm 145.00 Pm.upf
Tb 158.93 Tb.upf
K 39.10 K.upf
ATOMIC_POSITIONS crystal
Te 0.740 0.975 0.710
Te 0.235 0.975 0.710
Te 0.765 0.530 0.290
Te 0.765 0.025 0.290
Pm 0.000 0.500 0.500
Tb 0.000 0.000 0.500
Te 0.738 0.476 0.714
K 0.000 0.000 0.000
Te 0.235 0.470 0.710
K 0.000 0.500 0.000
K 0.500 0.500 0.000
Pm 0.500 0.500 0.500
Te 0.260 0.025 0.290
Pm 0.500 0.000 0.500
Te 0.262 0.524 0.286
CELL_PARAMETERS angstrom
8.973 0.001 0.000
-4.486 7.776 -0.034
0.000 -5.149 8.519

=====

! PBE KTb2PmTe4, optimized geometry; values from VASP
! - total moment (μB/f.u.) = 0.00
! - space-group type = P2/m
&SYSTEM
  ibrav = 0, nat = 8, ntyp = 4
/
ATOMIC_SPECIES
Te 127.60 Te.upf
K 39.10 K.upf
Pm 145.00 Pm.upf
Tb 158.93 Tb.upf
ATOMIC_POSITIONS crystal
Te 0.000 0.762 0.751
K 0.000 0.500 0.500
Te 0.500 0.769 0.236
Pm 0.500 0.500 0.000
Te 0.500 0.231 0.764
Tb 0.500 0.000 0.500
Tb 0.000 0.000 0.000
Te 0.000 0.238 0.249
CELL_PARAMETERS angstrom
-1.427 -1.076 -4.045
1.179 -7.610 1.609
-6.578 -2.919 3.097

=====

| no. | raw formation energy (kJ/mol of atoms) |
| --- | --- |
| 1 | -135.6 |
| 2 | -128.2 |
| 3 | -129.8 |